No. 1
A relaxed structure of Li2HoScS4, computed with PBE-GGA.

## Properties
For the formation energy without anion corrections, the calculation gives -1.804 eV/atom.

Unit cell a=6.5067 b=3.7995 c=6.5771 alpha=90.00 beta=109.68 gamma=90.00
Closest atoms and distances in Å follow each position.
Fractional positions:
Li 0.0000 0.0000 0.0000  6 S 2.65
Li 0.0000 0.5000 0.5000  6 S 2.73-2.74
Ho 0.5000 0.0000 0.5000  6 S 2.70
Sc 0.5000 0.5000 0.0000  6 S 2.61-2.62
S 0.2521 0.5000 0.2401  1 Sc 2.61, 3 Li 2.65-2.74, 2 Ho 2.70
S 0.2575 0.0000 0.7626  2 Sc 2.62, 3 Li 2.65-2.73, 1 Ho 2.70
S 0.7425 0.0000 0.2374  2 Sc 2.62, 3 Li 2.65-2.73, 1 Ho 2.70
S 0.7479 0.5000 0.7599  1 Sc 2.61, 3 Li 2.65-2.74, 2 Ho 2.70

=====

No. 2
A relaxed structure of DyScCuHg, computed with PBE-GGA.

## Properties
For the formation energy, the calculation gives -0.308 eV per atom.

Unit cell a=4.9724 b=4.9724 c=4.9724 alpha=60.00 beta=60.00 gamma=60.00
Closest atoms and distances in Å follow each position.
Fractional positions:
Dy 0.0000 0.0000 0.0000  4 Hg 3.04, 4 Cu 3.04
Sc 0.5000 0.5000 0.5000  4 Hg 3.04, 4 Cu 3.04
Cu 0.7500 0.7500 0.7500  4 Dy 3.04, 4 Sc 3.04
Hg 0.2500 0.2500 0.2500  4 Dy 3.04, 4 Sc 3.04

=====

| no. | V (Å³/atom) |
| --- | --- |
| 1 | 19.1 |
| 2 | 21.7 |